VASP calculation (PBE) on LiEuDyGa after structural relaxation.

```
LiEuDyGa
1.0
0.0000 3.7014 3.7014
3.7014 0.0000 3.7014
3.7014 3.7014 0.0000
Li Eu Dy Ga
1 1 1 1
Cartesian
0.0000 0.0000 0.0000 Li
1.8507 1.8507 1.8507 Eu
5.5521 5.5521 5.5521 Dy
3.7014 3.7014 3.7014 Ga
```

Space-group type   F-43m (216)

---

VASP calculation (PBE) on Pd2PbO after structural relaxation.

```
Pd2PbO
1.0
0.0000 3.1640 3.1640
3.1640 0.0000 3.1640
3.1640 3.1640 0.0000
Pd Pb O
2 1 1
Cartesian
1.5820 1.5820 1.5820 Pd
4.7459 4.7459 4.7459 Pd
0.0000 0.0000 0.0000 Pb
3.1640 3.1640 3.1640 O
```

ΔE_f (raw)   0.04 eV per atom
Space-group type   Fm-3m (225)
ΔE to the lowest computed polymorph   220.4 meV per atom

---

VASP calculation (PBE) on LaBeSb after structural relaxation.

```
LaBeSb
1.0
0.0000 3.2952 3.2952
3.2952 0.0000 3.2952
3.2952 3.2952 0.0000
La Be Sb
1 1 1
Cartesian
0.0000 0.0000 0.0000 La
4.9428 4.9428 4.9428 Be
3.2952 3.2952 3.2952 Sb
```

ΔE_f (raw)   -0.27 eV per atom
Space-group type   F-43m (216)
ΔE to the lowest computed polymorph   377.5 meV per atom

---

VASP calculation (PBE) on MgTlSi after structural relaxation.

```
MgTlSi
1.0
2.0140 -9.5863 0.0000
2.0140 9.5863 0.0000
0.0000 0.0000 3.7545
Mg Tl Si
2 2 2
Cartesian
2.0140 8.2381 2.8159 Mg
2.0140 -8.2381 0.9386 Mg
2.0140 5.8109 0.9386 Tl
2.0140 -5.8109 2.8159 Tl
2.0140 0.7983 2.8159 Si
2.0140 -0.7983 0.9386 Si
```

ΔE_f (raw)   0.10 eV per atom
Space-group type   Cmcm (63)
ΔE to the lowest computed polymorph   0.0 meV per atom

---

Number 1: DFT total energy -5.183 eV per atom, size of the total moment 7.20 Bohr magnetons per cell. Number 2: DFT total energy -4.718 eV per atom, size of the total moment 0.00 Bohr magnetons per cell. Number 3: DFT total energy -4.530 eV per atom, size of the total moment 0.00 Bohr magnetons per cell. Number 4: DFT total energy -3.029 eV per atom, size of the total moment 0.00 Bohr magnetons per cell.